Entry 1:
First-principles (GGA-PBE) data for a relaxed structure of TaTi2In, as listed in the Alexandria database.

Cell: 5.333 3.016 9.676 Å, 90.00 101.33 90.00°
Positions (direct):
Ta (0.000, 0.000, 0.000)
Ta (0.500, 0.500, 0.000)
Ti (0.093, 0.500, 0.761)
Ti (0.407, 0.000, 0.238)
Ti (0.593, 0.000, 0.761)
Ti (0.907, 0.500, 0.238)
In (0.331, 0.500, 0.499)
In (0.831, 0.000, 0.499)

Results
DOS at the Fermi energy = 1.082 states/eV/atom
DFT formation energy = 43 meV per atom


Entry 2:
First-principles (GGA-PBE) data for a relaxed structure of Ta3TiIn, as listed in the Alexandria database.

Cell: 4.735 4.735 4.735 Å, 90.00 90.00 90.00°
Positions (direct):
Ta (0.000, 0.000, 0.500)
Ta (0.000, 0.500, 0.000)
Ta (0.500, 0.000, 0.000)
Ti (0.000, 0.000, 0.000)
In (0.500, 0.500, 0.500)

Results
DOS at the Fermi energy = 1.083 states/eV/atom
relative energy among the computed polymorphs = 0.00 eV per formula unit
DFT formation energy = 1264 meV per atom


Entry 3:
First-principles (GGA-PBE) data for a relaxed structure of TaTi5In4, as listed in the Alexandria database.

Cell: 2.990 2.990 21.278 Å, 90.00 90.00 90.00°
Positions (direct):
Ta (0.000, 0.000, 0.000)
Ti (0.500, 0.500, 0.095)
Ti (0.500, 0.500, 0.300)
Ti (0.500, 0.500, 0.500)
Ti (0.500, 0.500, 0.700)
Ti (0.500, 0.500, 0.905)
In (0.000, 0.000, 0.199)
In (0.000, 0.000, 0.400)
In (0.000, 0.000, 0.600)
In (0.000, 0.000, 0.801)

Results
DOS at the Fermi energy = 1.107 states/eV/atom
relative energy among the computed polymorphs = 0.00 eV per formula unit
DFT formation energy = -96 meV per atom


Entry 4:
First-principles (GGA-PBE) data for a relaxed structure of TaTiIn, as listed in the Alexandria database.

Cell: 2.871 17.216 4.572 Å, 90.00 90.00 90.00°
Positions (direct):
Ta (0.000, 0.208, 0.250)
Ta (0.000, 0.792, 0.750)
Ta (0.500, 0.292, 0.750)
Ta (0.500, 0.708, 0.250)
Ti (0.000, 0.041, 0.250)
Ti (0.000, 0.959, 0.750)
Ti (0.500, 0.459, 0.750)
Ti (0.500, 0.541, 0.250)
In (0.000, 0.383, 0.250)
In (0.000, 0.617, 0.750)
In (0.500, 0.117, 0.750)
In (0.500, 0.883, 0.250)

Results
DOS at the Fermi energy = 1.177 states/eV/atom
relative energy among the computed polymorphs = 0.30 eV per formula unit
DFT formation energy = 119 meV per atom


Entry 5:
First-principles (GGA-PBE) data for a relaxed structure of TaTi3In, as listed in the Alexandria database.

Cell: 13.711 13.711 4.722 Å, 90.00 90.00 168.19°
Positions (direct):
Ta (0.222, 0.778, 0.750)
Ta (0.778, 0.222, 0.250)
Ti (0.321, 0.679, 0.750)
Ti (0.373, 0.627, 0.250)
Ti (0.475, 0.525, 0.250)
Ti (0.525, 0.475, 0.750)
Ti (0.627, 0.373, 0.750)
Ti (0.679, 0.321, 0.250)
In (0.075, 0.925, 0.250)
In (0.925, 0.075, 0.750)

Results
DOS at the Fermi energy = 1.267 states/eV/atom
relative energy among the computed polymorphs = 0.00 eV per formula unit
DFT formation energy = 30 meV per atom


Entry 6:
First-principles (GGA-PBE) data for a relaxed structure of TaTiIn, as listed in the Alexandria database.

Cell: 4.637 3.682 14.078 Å, 90.00 96.72 90.00°
Positions (direct):
Ta (0.215, 0.000, 0.418)
Ta (0.285, 0.500, 0.582)
Ta (0.715, 0.500, 0.418)
Ta (0.785, 0.000, 0.582)
Ti (0.095, 0.500, 0.271)
Ti (0.405, 0.000, 0.729)
Ti (0.595, 0.000, 0.271)
Ti (0.905, 0.500, 0.729)
In (0.039, 0.000, 0.104)
In (0.461, 0.500, 0.896)
In (0.539, 0.500, 0.104)
In (0.961, 0.000, 0.896)

Results
DOS at the Fermi energy = 1.081 states/eV/atom
relative energy among the computed polymorphs = 0.00 eV per formula unit
DFT formation energy = 20 meV per atom


Entry 7:
First-principles (GGA-PBE) data for a relaxed structure of TaTi3In, as listed in the Alexandria database.

Cell: 4.832 4.832 4.832 Å, 90.00 90.00 90.00°
Positions (direct):
Ta (0.000, 0.000, 0.000)
Ti (0.000, 0.000, 0.500)
Ti (0.000, 0.500, 0.000)
Ti (0.500, 0.000, 0.000)
In (0.500, 0.500, 0.500)

Results
DOS at the Fermi energy = 2.046 states/eV/atom
relative energy among the computed polymorphs = 4.24 eV per formula unit
DFT formation energy = 878 meV per atom


Entry 8:
First-principles (GGA-PBE) data for a relaxed structure of TaTiIn3, as listed in the Alexandria database.

Cell: 5.288 5.288 5.288 Å, 90.00 90.00 90.00°
Positions (direct):
Ta (0.000, 0.000, 0.000)
Ti (0.500, 0.500, 0.500)
In (0.000, 0.000, 0.500)
In (0.000, 0.500, 0.000)
In (0.500, 0.000, 0.000)

Results
DOS at the Fermi energy = 2.638 states/eV/atom
relative energy among the computed polymorphs = 0.00 eV per formula unit
DFT formation energy = 1113 meV per atom


Entry 9:
First-principles (GGA-PBE) data for a relaxed structure of TaTiIn, as listed in the Alexandria database.

Cell: 2.954 5.740 7.180 Å, 96.78 95.85 102.64°
Positions (direct):
Ta (0.234, 0.061, 0.337)
Ta (0.766, 0.939, 0.663)
Ti (0.200, 0.781, 0.976)
Ti (0.800, 0.219, 0.024)
In (0.429, 0.421, 0.697)
In (0.571, 0.579, 0.303)

Results
DOS at the Fermi energy = 0.923 states/eV/atom
relative energy among the computed polymorphs = 0.25 eV per formula unit
DFT formation energy = 104 meV per atom


Entry 10:
First-principles (GGA-PBE) data for a relaxed structure of Ta2TiInW, as listed in the Alexandria database.

Cell: 4.852 4.852 5.125 Å, 90.00 90.00 90.00°
Positions (direct):
Ta (0.000, 0.500, 0.000)
Ta (0.500, 0.000, 0.000)
Ti (0.000, 0.000, 0.500)
In (0.500, 0.500, 0.500)
W (0.500, 0.500, 0.000)

Results
DOS at the Fermi energy = 1.375 states/eV/atom
DFT formation energy = 1470 meV per atom


Entry 11:
First-principles (GGA-PBE) data for a relaxed structure of ZrTaTiIn, as listed in the Alexandria database.

Cell: 6.807 6.807 6.807 Å, 90.00 90.00 90.00°
Positions (direct):
Zr (0.000, 0.000, 0.000)
Zr (0.000, 0.500, 0.500)
Zr (0.500, 0.000, 0.500)
Zr (0.500, 0.500, 0.000)
Ta (0.250, 0.250, 0.250)
Ta (0.250, 0.750, 0.750)
Ta (0.750, 0.250, 0.750)
Ta (0.750, 0.750, 0.250)
Ti (0.000, 0.000, 0.500)
Ti (0.000, 0.500, 0.000)
Ti (0.500, 0.000, 0.000)
Ti (0.500, 0.500, 0.500)
In (0.250, 0.250, 0.750)
In (0.250, 0.750, 0.250)
In (0.750, 0.250, 0.250)
In (0.750, 0.750, 0.750)

Results
DOS at the Fermi energy = 1.191 states/eV/atom
DFT formation energy = 9 meV per atom


Entry 12:
First-principles (GGA-PBE) data for a relaxed structure of TaTlIn2, as listed in the Alexandria database.

Cell: 3.255 3.255 30.506 Å, 90.00 90.00 120.00°
Positions (direct):
Ta (0.000, 0.000, 0.000)
Ta (0.333, 0.667, 0.667)
Ta (0.667, 0.333, 0.333)
Tl (0.000, 0.000, 0.500)
Tl (0.333, 0.667, 0.167)
Tl (0.667, 0.333, 0.833)
In (0.000, 0.000, 0.257)
In (0.000, 0.000, 0.743)
In (0.333, 0.667, 0.410)
In (0.333, 0.667, 0.924)
In (0.667, 0.333, 0.076)
In (0.667, 0.333, 0.590)

Results
DOS at the Fermi energy = 0.821 states/eV/atom
relative energy among the computed polymorphs = 0.13 eV per formula unit
DFT formation energy = 285 meV per atom


Entry 13:
First-principles (GGA-PBE) data for a relaxed structure of Ta4TlIn, as listed in the Alexandria database.

Cell: 5.606 5.606 5.606 Å, 60.00 60.00 60.00°
Positions (direct):
Ta (0.125, 0.125, 0.125)
Ta (0.125, 0.125, 0.624)
Ta (0.125, 0.624, 0.125)
Ta (0.624, 0.125, 0.125)
Tl (0.750, 0.750, 0.750)
In (0.500, 0.500, 0.500)

Results
DOS at the Fermi energy = 0.857 states/eV/atom
DFT formation energy = 513 meV per atom


Entry 14:
First-principles (GGA-PBE) data for a relaxed structure of TaTlIn2, as listed in the Alexandria database.

Cell: 3.258 3.258 30.241 Å, 90.00 90.00 120.00°
Positions (direct):
Ta (0.000, 0.000, 0.000)
Ta (0.333, 0.667, 0.667)
Ta (0.667, 0.333, 0.333)
Tl (0.000, 0.000, 0.747)
Tl (0.333, 0.667, 0.414)
Tl (0.667, 0.333, 0.080)
In (0.000, 0.000, 0.257)
In (0.000, 0.000, 0.503)
In (0.333, 0.667, 0.170)
In (0.333, 0.667, 0.923)
In (0.667, 0.333, 0.590)
In (0.667, 0.333, 0.837)

Results
DOS at the Fermi energy = 0.602 states/eV/atom
relative energy among the computed polymorphs = 0.41 eV per formula unit
DFT formation energy = 356 meV per atom


Entry 15:
First-principles (GGA-PBE) data for a relaxed structure of TaTlIn2, as listed in the Alexandria database.

Cell: 4.237 4.237 4.979 Å, 90.00 90.00 90.00°
Positions (direct):
Ta (0.000, 0.000, 0.000)
Tl (0.500, 0.500, 0.000)
In (0.000, 0.500, 0.500)
In (0.500, 0.000, 0.500)

Results
DOS at the Fermi energy = 0.696 states/eV/atom
relative energy among the computed polymorphs = 1.11 eV per formula unit
DFT formation energy = 531 meV per atom


Entry 16:
First-principles (GGA-PBE) data for a relaxed structure of TaTlIn2, as listed in the Alexandria database.

Cell: 7.265 7.265 7.265 Å, 90.00 90.00 90.00°
Positions (direct):
Ta (0.000, 0.000, 0.000)
Ta (0.000, 0.500, 0.500)
Ta (0.500, 0.000, 0.500)
Ta (0.500, 0.500, 0.000)
Tl (0.000, 0.000, 0.500)
Tl (0.000, 0.500, 0.000)
Tl (0.500, 0.000, 0.000)
Tl (0.500, 0.500, 0.500)
In (0.250, 0.250, 0.250)
In (0.250, 0.250, 0.750)
In (0.250, 0.750, 0.250)
In (0.250, 0.750, 0.750)
In (0.750, 0.250, 0.250)
In (0.750, 0.250, 0.750)
In (0.750, 0.750, 0.250)
In (0.750, 0.750, 0.750)

Results
DOS at the Fermi energy = 0.670 states/eV/atom
relative energy among the computed polymorphs = 1.99 eV per formula unit
DFT formation energy = 750 meV per atom


Entry 17:
First-principles (GGA-PBE) data for a relaxed structure of TaTl4In, as listed in the Alexandria database.

Cell: 6.142 6.142 6.142 Å, 60.00 60.00 60.00°
Positions (direct):
Ta (0.000, 0.000, 0.000)
Tl (0.124, 0.625, 0.625)
Tl (0.625, 0.124, 0.625)
Tl (0.625, 0.625, 0.124)
Tl (0.625, 0.625, 0.625)
In (0.250, 0.250, 0.250)

Results
DOS at the Fermi energy = 0.743 states/eV/atom
DFT formation energy = 853 meV per atom


Entry 18:
First-principles (GGA-PBE) data for a relaxed structure of TaTlIn2, as listed in the Alexandria database.

Cell: 3.887 3.887 6.010 Å, 90.00 90.00 90.00°
Positions (direct):
Ta (0.000, 0.000, 0.000)
Tl (0.500, 0.500, 0.248)
In (0.000, 0.000, 0.508)
In (0.500, 0.500, 0.776)

Results
DOS at the Fermi energy = 0.686 states/eV/atom
relative energy among the computed polymorphs = 0.84 eV per formula unit
DFT formation energy = 462 meV per atom


Entry 19:
First-principles (GGA-PBE) data for a relaxed structure of Ta2Tl2In, as listed in the Alexandria database.

Cell: 4.122 4.122 13.910 Å, 90.00 90.00 90.00°
Positions (direct):
Ta (0.000, 0.000, 0.089)
Ta (0.000, 0.000, 0.911)
Ta (0.500, 0.500, 0.411)
Ta (0.500, 0.500, 0.589)
Tl (0.000, 0.500, 0.250)
Tl (0.000, 0.500, 0.750)
Tl (0.500, 0.000, 0.250)
Tl (0.500, 0.000, 0.750)
In (0.000, 0.000, 0.500)
In (0.500, 0.500, 0.000)

Results
DOS at the Fermi energy = 0.549 states/eV/atom
DFT formation energy = 818 meV per atom


Entry 20:
First-principles (GGA-PBE) data for a relaxed structure of TaTlIn2, as listed in the Alexandria database.

Cell: 10.986 3.079 5.405 Å, 90.00 97.03 90.00°
Positions (direct):
Ta (0.000, 0.000, 0.000)
Ta (0.500, 0.500, 0.000)
Tl (0.243, 0.500, 0.252)
Tl (0.743, 0.000, 0.252)
In (0.005, 0.500, 0.506)
In (0.267, 0.000, 0.777)
In (0.505, 0.000, 0.506)
In (0.767, 0.500, 0.777)

Results
DOS at the Fermi energy = 0.629 states/eV/atom
relative energy among the computed polymorphs = 0.55 eV per formula unit
DFT formation energy = 390 meV per atom